Record 1
## K2UTl3Se6 (PBE)

Data for a relaxed structure of K2UTl3Se6.

Calculated values
Magnetization ... 0.00 μB/atom
Energy relative to the elements, uncorrected ... -0.815 eV/atom

POSCAR file:
```
K2UTl3Se6
1.0
3.959 -7.074 0.000
3.959 7.074 0.000
-2.844 0.000 7.009
K U Tl Se
2 1 3 6
direct
0.170 0.830 0.000
0.830 0.170 0.000
0.500 0.500 0.000
0.000 0.000 0.500
0.345 0.655 0.500
0.655 0.345 0.500
0.146 0.419 0.775
0.293 0.293 0.219
0.419 0.146 0.775
0.581 0.854 0.225
0.707 0.707 0.781
0.854 0.581 0.225
```



Record 2
## SrLiHg4Pb2 (PBE)

Data for a relaxed structure of SrLiHg4Pb2.

Calculated values
Magnetization ... 0.00 μB/atom

POSCAR file:
```
SrLiHg4Pb2
1.0
2.656 1.534 8.792
-2.656 1.534 8.792
0.000 -3.067 8.792
Sr Li Hg Pb
1 1 4 2
direct
0.000 0.000 0.000
0.500 0.500 0.500
0.131 0.131 0.131
0.385 0.385 0.385
0.615 0.615 0.615
0.869 0.869 0.869
0.250 0.250 0.250
0.750 0.750 0.750
```



Record 3
## LaAuS2I (PBE)

Data for a relaxed structure of LaAuS2I.

Calculated values
Magnetization ... 0.00 μB/atom
Energy relative to the elements, uncorrected ... -0.158 eV/atom

POSCAR file:
```
LaAuS2I
1.0
5.317 0.000 0.000
0.000 5.317 0.000
0.000 0.000 6.669
La Au S I
1 1 2 1
direct
0.000 0.000 0.000
0.500 0.500 0.500
0.000 0.500 0.000
0.500 0.000 0.000
0.000 0.000 0.500
```



Record 4
## Sc2GaRe (PBE)

Data for a relaxed structure of Sc2GaRe.

Calculated values
Magnetization ... 0.00 μB/atom

POSCAR file:
```
Sc2GaRe
1.0
1.580 0.912 9.808
-1.580 0.912 9.808
0.000 -1.824 9.808
Sc Ga Re
2 1 1
direct
0.099 0.099 0.099
0.901 0.901 0.901
0.000 0.000 0.000
0.500 0.500 0.500
```



Record 5
## Ga2H6Pb (PBE)

Data for a relaxed structure of Ga2H6Pb.

Calculated values
Magnetization ... 0.00 μB/atom

POSCAR file:
```
Ga2H6Pb
1.0
0.000 3.890 3.890
3.890 0.000 3.890
3.890 3.890 0.000
Ga H Pb
2 6 1
direct
0.250 0.250 0.250
0.750 0.750 0.750
0.246 0.246 0.754
0.246 0.754 0.246
0.246 0.754 0.754
0.754 0.246 0.246
0.754 0.246 0.754
0.754 0.754 0.246
0.500 0.500 0.500
```



Record 6
## SmHo2F (PBE)

Data for a relaxed structure of SmHo2F.

Calculated values
Magnetization ... 0.00 μB/atom
Energy relative to the elements, uncorrected ... -0.865 eV/atom

POSCAR file:
```
SmHo2F
1.0
1.804 1.041 9.318
-1.804 1.041 9.318
0.000 -2.083 9.318
Sm Ho F
1 2 1
direct
0.000 0.000 0.000
0.119 0.119 0.119
0.881 0.881 0.881
0.500 0.500 0.500
```



Record 7
## HfNiSn (PBE)

Data for a relaxed structure of HfNiSn.

Calculated values
Magnetization ... 0.00 μB/atom

POSCAR file:
```
HfNiSn
1.0
4.413 0.000 0.000
-2.207 3.822 0.000
0.000 0.000 3.201
Hf Ni Sn
1 1 1
direct
0.000 0.000 0.000
0.667 0.333 0.497
0.333 0.667 0.500
```



Record 8
## Y4Co2Hg5 (PBE)

Data for a relaxed structure of Y4Co2Hg5.

Calculated values
Magnetization ... 0.00 μB/atom

POSCAR file:
```
Y4Co2Hg5
1.0
7.564 0.000 0.000
0.000 3.642 0.000
-0.723 0.000 9.233
Y Co Hg
4 2 5
direct
0.177 0.000 0.334
0.221 0.000 0.931
0.779 0.000 0.069
0.823 0.000 0.666
0.061 0.500 0.122
0.939 0.500 0.878
0.160 0.500 0.640
0.442 0.500 0.164
0.500 0.500 0.500
0.558 0.500 0.836
0.840 0.500 0.360
```



Record 9
## InCuSe2 (PBE)

Data for a relaxed structure of InCuSe2.

Calculated values
Magnetization ... 0.00 μB/atom
Energy relative to the elements, uncorrected ... -0.066 eV/atom

POSCAR file:
```
InCuSe2
1.0
1.833 -4.397 0.000
1.833 4.397 0.000
0.000 0.000 7.378
In Cu Se
1 1 2
direct
0.000 0.000 0.000
0.000 0.000 0.500
0.500 0.500 0.281
0.500 0.500 0.719
```



Record 10
## Dy4InHg2Rh (PBE)

Data for a relaxed structure of Dy4InHg2Rh.

Calculated values
Magnetization ... 0.00 μB/atom

POSCAR file:
```
Dy4InHg2Rh
1.0
2.595 1.499 8.372
-2.595 1.499 8.372
0.000 -2.997 8.372
Dy In Hg Rh
4 1 2 1
direct
0.114 0.114 0.114
0.368 0.368 0.368
0.632 0.632 0.632
0.886 0.886 0.886
0.500 0.500 0.500
0.241 0.241 0.241
0.759 0.759 0.759
0.000 0.000 0.000
```



Record 11
## LaCeGe2Ir2 (PBE)

Data for a relaxed structure of LaCeGe2Ir2.

Calculated values
Magnetization ... 0.00 μB/atom

POSCAR file:
```
LaCeGe2Ir2
1.0
4.341 0.000 0.000
-2.171 3.760 0.000
0.000 0.000 7.925
La Ce Ge Ir
1 1 2 2
direct
0.000 0.000 0.000
0.000 0.000 0.500
0.333 0.667 0.261
0.667 0.333 0.739
0.333 0.667 0.734
0.667 0.333 0.266
```



Record 12
## Ca4CoPb2 (PBE)

Data for a relaxed structure of Ca4CoPb2.

Calculated values
Magnetization ... 0.12 μB/atom

POSCAR file:
```
Ca4CoPb2
1.0
-2.708 2.708 7.748
2.708 -2.708 7.748
2.708 2.708 -7.748
Ca Co Pb
4 1 2
direct
0.000 0.500 0.500
0.175 0.175 0.000
0.500 0.000 0.500
0.825 0.825 0.000
0.000 0.000 0.000
0.381 0.381 0.000
0.619 0.619 0.000
```



Record 13
## Tc2TeMo (PBE)

Data for a relaxed structure of Tc2TeMo.

Calculated values
Magnetization ... 0.00 μB/atom
Energy relative to the elements, uncorrected ... 0.285 eV/atom

POSCAR file:
```
Tc2TeMo
1.0
3.119 0.000 0.000
0.000 3.119 0.000
0.000 0.000 6.777
Tc Te Mo
2 1 1
direct
0.000 0.000 0.000
0.500 0.500 0.236
0.000 0.000 0.495
0.500 0.500 0.762
```



Record 14
## Pr2PuIn3Te6 (PBE)

Data for a relaxed structure of Pr2PuIn3Te6.

Calculated values
Magnetization ... 0.43 μB/atom
Energy relative to the elements, uncorrected ... -0.888 eV/atom

POSCAR file:
```
Pr2PuIn3Te6
1.0
3.919 -6.791 0.000
3.919 6.791 0.000
-2.615 0.000 8.074
Pr Pu In Te
2 1 3 6
direct
0.166 0.834 0.000
0.834 0.166 0.000
0.500 0.500 0.000
0.000 0.000 0.500
0.332 0.668 0.500
0.668 0.332 0.500
0.096 0.425 0.773
0.248 0.248 0.228
0.425 0.096 0.773
0.575 0.904 0.227
0.752 0.752 0.772
0.904 0.575 0.227
```



Record 15
## Ta5Nb2W5 (PBE)

Data for a relaxed structure of Ta5Nb2W5.

Calculated values
Magnetization ... 0.00 μB/atom
Energy relative to the lowest polymorph listed for this composition ... 0.755 eV/atom

POSCAR file:
```
Ta5Nb2W5
1.0
4.836 -2.221 0.000
4.836 2.221 0.000
-2.182 0.000 11.025
Ta Nb W
5 2 5
direct
0.000 0.000 0.000
0.163 0.163 0.509
0.254 0.254 0.882
0.746 0.746 0.118
0.837 0.837 0.491
0.399 0.399 0.700
0.601 0.601 0.300
0.285 0.285 0.300
0.411 0.411 0.100
0.500 0.500 0.500
0.589 0.589 0.900
0.715 0.715 0.700
```



Record 16
## PmTmCu2S4 (PBE)

Data for a relaxed structure of PmTmCu2S4.

Calculated values
Magnetization ... 0.00 μB/atom
Energy relative to the elements, uncorrected ... -1.195 eV/atom

POSCAR file:
```
PmTmCu2S4
1.0
-3.236 3.313 3.827
3.236 -3.313 3.827
3.236 3.313 -3.827
Pm Tm Cu S
1 1 2 4
direct
0.000 0.000 0.000
0.500 0.500 0.000
0.333 0.833 0.500
0.667 0.167 0.500
0.084 0.066 0.531
0.465 0.934 0.018
0.535 0.553 0.469
0.916 0.447 0.982
```



Record 17
## Rb3PaAu2O6 (PBE)

Data for a relaxed structure of Rb3PaAu2O6.

Calculated values
Magnetization ... 0.00 μB/atom
Energy relative to the elements, uncorrected ... -1.487 eV/atom

POSCAR file:
```
Rb3PaAu2O6
1.0
6.538 0.000 0.000
-3.269 5.662 0.000
0.000 0.000 7.429
Rb Pa Au O
3 1 2 6
direct
0.000 0.000 0.000
0.333 0.667 0.736
0.667 0.333 0.264
0.000 0.000 0.500
0.333 0.667 0.293
0.667 0.333 0.707
0.149 0.298 0.316
0.149 0.851 0.316
0.298 0.149 0.684
0.702 0.851 0.316
0.851 0.149 0.684
0.851 0.702 0.684
```



Record 18
## Pm2NiPb (PBE)

Data for a relaxed structure of Pm2NiPb.

Calculated values
Magnetization ... 0.00 μB/atom

POSCAR file:
```
Pm2NiPb
1.0
3.605 0.000 0.000
1.798 5.829 0.000
1.793 2.434 5.306
Pm Ni Pb
2 1 1
direct
0.000 0.000 0.000
0.350 0.649 0.648
0.675 0.024 0.625
0.676 0.446 0.202
```



Record 19
## HgRhSN2 (PBE)

Data for a relaxed structure of HgRhSN2.

Calculated values
Magnetization ... 0.96 μB/atom
Energy relative to the lowest polymorph listed for this composition ... 1.281 eV/atom
Energy relative to the elements, uncorrected ... 2.301 eV/atom

POSCAR file:
```
HgRhSN2
1.0
4.037 0.000 0.000
0.000 4.037 0.000
0.000 0.000 5.786
Hg Rh S N
1 1 1 2
direct
0.000 0.000 0.000
0.500 0.500 0.500
0.000 0.000 0.500
0.000 0.500 0.000
0.500 0.000 0.000
```



Record 20
## LaNdSm4 (PBE)

Data for a relaxed structure of LaNdSm4.

Calculated values
Magnetization ... 0.00 μB/atom
Energy relative to the lowest polymorph listed for this composition ... 0.233 eV/atom

POSCAR file:
```
LaNdSm4
1.0
0.000 4.754 4.754
4.754 0.000 4.754
4.754 4.754 0.000
La Nd Sm
1 1 4
direct
0.000 0.000 0.000
0.250 0.250 0.250
0.126 0.625 0.625
0.625 0.126 0.625
0.625 0.625 0.126
0.625 0.625 0.625
```



no.,raw total energy (eV/atom)
1,-4.27
2,-1.79
3,-3.76
4,-6.87
5,-2.64
6,-4.80
7,-6.96
8,-4.14
9,-3.52
10,-4.21
11,-7.14
12,-3.27
13,-8.39
14,-5.13
15,-11.33
16,-5.44
17,-5.55
18,-4.90
19,-3.38
20,-4.51